1.
DFT (meta-GGA SCAN) results for a PBEsol-optimized structure of PtRhW2.

Unit cell a=2.712 b=4.005 c=5.427 alpha=90.00 beta=90.00 gamma=90.00
Element x y z (fractional)
Pt: 0.000 0.000 0.000
Rh: 0.000 0.000 0.500
W: 0.500 0.500 0.256
W: 0.500 0.500 0.744

Output
The density of states at the Fermi level comes out at 1.71 states/eV/cell. Its space group is Pmmm (47). The energy above the lowest structure with this stoichiometry is 30.7 meV per atom.

***

2.
DFT (meta-GGA SCAN) results for a PBEsol-optimized structure of PtRhW2.

Unit cell a=2.736 b=2.736 c=7.979 alpha=90.00 beta=90.00 gamma=90.00
Element x y z (fractional)
Pt: 0.000 0.000 0.000
Rh: 0.500 0.500 0.259
W: 0.000 0.000 0.487
W: 0.500 0.500 0.759

Output
The density of states at the Fermi level comes out at 2.20 states/eV/cell. Its space group is P4mm (99). The energy above the lowest structure with this stoichiometry is 110.5 meV per atom.

***

3.
DFT (meta-GGA SCAN) results for a PBEsol-optimized structure of PtRhW2.

Unit cell a=2.728 b=4.438 c=4.862 alpha=90.00 beta=90.00 gamma=90.00
Element x y z (fractional)
Pt: 0.000 0.000 0.000
Rh: 0.000 0.500 0.663
W: 0.500 0.000 0.502
W: 0.500 0.500 0.166

Output
The density of states at the Fermi level comes out at 1.61 states/eV/cell. Its space group is Pmm2 (25). The energy above the lowest structure with this stoichiometry is 0.0 meV per atom.

***

4.
DFT (meta-GGA SCAN) results for a PBEsol-optimized structure of PtRhW2.

Unit cell a=4.845 b=4.845 c=2.709 alpha=90.00 beta=90.00 gamma=112.11
Element x y z (fractional)
Pt: 0.000 0.000 0.000
Rh: 0.500 0.500 0.000
W: 0.000 0.500 0.500
W: 0.500 0.000 0.500

Output
The density of states at the Fermi level comes out at 1.74 states/eV/cell. Its space group is Cmmm (65). The energy above the lowest structure with this stoichiometry is 34.9 meV per atom.